[1]
! PBE PmEr3Ni, optimized geometry; values from VASP
! crystal system = cubic
&SYSTEM
  ibrav = 0, nat = 5, ntyp = 3
/
ATOMIC_SPECIES
Pm 145.00 Pm.upf
Er 167.26 Er.upf
Ni 58.69 Ni.upf
CELL_PARAMETERS angstrom
-1.2242 -0.4987 -5.1103
5.1328 -0.2550 -1.2047
-0.1331 -5.2487 0.5441
ATOMIC_POSITIONS angstrom
Pm 1.8878 -3.0012 -2.8855
Er -0.0665 -2.6243 0.2720
Er 2.5664 -0.1275 -0.6024
Er -0.6121 -0.2493 -2.5551
Ni 0.0000 0.0000 0.0000

---

[2]
! PBE Pm3ErNi2, optimized geometry; values from VASP
! crystal system = monoclinic
&SYSTEM
  ibrav = 0, nat = 12, ntyp = 3
/
ATOMIC_SPECIES
Pm 145.00 Pm.upf
Ni 58.69 Ni.upf
Er 167.26 Er.upf
CELL_PARAMETERS angstrom
-3.6061 -1.5132 -0.4043
-1.9276 -2.5971 7.7966
-5.6580 7.4611 3.4245
ATOMIC_POSITIONS angstrom
Pm -6.6242 2.9442 9.8313
Pm -3.9445 -2.4177 5.9988
Pm -4.5675 0.4066 0.9855
Pm -5.7830 2.5310 3.8755
Pm -5.4087 0.8198 6.9413
Pm -7.2472 5.7685 4.8180
Ni -7.6530 0.5940 8.6876
Ni -7.3393 5.2132 7.7181
Ni -3.8524 -1.8624 3.0987
Ni -3.5387 2.7568 2.1292
Er -2.8151 0.4885 4.1644
Er -8.3766 2.8624 6.6525

---

[3]
! PBE Pm2ErNi2, optimized geometry; values from VASP
! crystal system = monoclinic
&SYSTEM
  ibrav = 0, nat = 10, ntyp = 3
/
ATOMIC_SPECIES
Ni 58.69 Ni.upf
Er 167.26 Er.upf
Pm 145.00 Pm.upf
CELL_PARAMETERS angstrom
-1.6295 3.3140 2.3137
-3.6344 -3.3695 2.2667
9.6540 0.7973 5.6570
ATOMIC_POSITIONS angstrom
Ni 7.7523 0.4476 6.8706
Ni 2.5416 -1.6875 6.2591
Ni -3.3622 0.2942 3.3669
Ni 1.8484 2.4293 3.9784
Er 5.7591 2.4855 6.6519
Er -1.3691 -1.7438 3.5855
Pm -0.8949 1.7934 2.9571
Pm 5.2849 -1.0517 7.2804
Pm 3.7171 0.2784 4.2711
Pm 0.6729 0.4633 5.9664

---

E_form / eV/atom: -0.09; -0.25; -0.26
Uncorrected energy / eV/atom: -4.932; -5.311; -5.390